Entry 1:
Computed, not measured: a relaxed Y2ZnRuSe crystal at the PBE level of DFT.

Values from the calculation:
VASP energy	-5.26	eV per atom
raw formation energy	0.131	eV/atom
M_tot	0.0	μB per formula unit
space group	P4/mmm (123)
DOS(E_F)	0.964	states/eV per atom

Lattice parameters (Å, degrees): 5.373 4.449 5.373 90.00 90.00 90.00
Element x y z (fractional)
Y 0.000 0.000 0.500
Y 0.500 0.000 0.000
Ru 0.000 0.500 0.000
Zn 0.000 0.000 0.000
Se 0.500 0.500 0.500

***

Entry 2:
Computed, not measured: a relaxed Pm2Sm3Ho4 crystal at the PBE level of DFT.

Values from the calculation:
VASP energy	-4.57	eV per atom
energy relative to the elements	95.5	meV/atom
M_tot	0.0	μB per formula unit
space group	C2/c (15)
offset from the most stable computed form	77	meV per atom
DOS(E_F)	1.354	states/eV per atom

Lattice parameters (Å, degrees): 6.135 11.333 11.333 61.81 62.56 62.56
Element x y z (fractional)
Pm 0.423 0.237 0.518
Pm 0.077 0.482 0.763
Pm 0.577 0.763 0.482
Pm 0.923 0.518 0.237
Sm 0.766 0.066 0.263
Sm 0.734 0.737 0.934
Sm 0.234 0.934 0.737
Sm 0.266 0.263 0.066
Sm 0.250 0.599 0.401
Sm 0.750 0.401 0.599
Ho 0.424 0.908 0.186
Ho 0.076 0.814 0.092
Ho 0.576 0.092 0.814
Ho 0.924 0.186 0.908
Ho 0.084 0.145 0.421
Ho 0.416 0.579 0.855
Ho 0.916 0.855 0.579
Ho 0.584 0.421 0.145